(1)
Below is SmGdCl after structural relaxation, with properties calculated at the GGA-PBE level. Values from VASP.

Quantum ESPRESSO input file:
```
&SYSTEM
  ibrav = 0, nat = 3, ntyp = 3
/
ATOMIC_SPECIES
Sm 150.36 Sm.upf
Gd 157.25 Gd.upf
Cl 35.45 Cl.upf
ATOMIC_POSITIONS crystal
Sm 0.000 0.000 0.000
Gd 0.333 0.667 0.614
Cl 0.667 0.333 0.310
CELL_PARAMETERS angstrom
3.745 0.000 0.000
-1.873 3.244 0.000
0.000 0.000 7.072
```

Results
space-group type	P3m1, No. 156
formation energy without anion corrections	-88.7	kJ/mol of atoms
raw total energy	-7.801	eV per atom

***

(2)
Below is MgPH after structural relaxation, with properties calculated at the GGA-PBE level. Values from VASP.

Quantum ESPRESSO input file:
```
&SYSTEM
  ibrav = 0, nat = 12, ntyp = 3
/
ATOMIC_SPECIES
Mg 24.30 Mg.upf
P 30.97 P.upf
H 1.01 H.upf
ATOMIC_POSITIONS crystal
Mg 0.146 0.250 0.024
Mg 0.354 0.750 0.524
Mg 0.646 0.250 0.476
Mg 0.854 0.750 0.976
P 0.205 0.750 0.858
P 0.295 0.250 0.358
P 0.705 0.750 0.642
P 0.795 0.250 0.142
H 0.147 0.250 0.495
H 0.353 0.750 0.995
H 0.647 0.250 0.005
H 0.853 0.750 0.505
CELL_PARAMETERS angstrom
7.231 0.000 0.000
0.000 4.574 0.000
0.000 0.000 6.968
```

Results
space-group type	Pnma, No. 62
relative energy among the computed polymorphs	73	meV per atom
raw total energy	-3.748	eV per atom

***

(3)
Below is SrCu8Pt2 after structural relaxation, with properties calculated at the GGA-PBE level. Values from VASP.

Quantum ESPRESSO input file:
```
&SYSTEM
  ibrav = 0, nat = 11, ntyp = 3
/
ATOMIC_SPECIES
Sr 87.62 Sr.upf
Cu 63.55 Cu.upf
Pt 195.08 Pt.upf
ATOMIC_POSITIONS crystal
Sr 0.000 0.000 0.000
Cu 0.309 0.309 0.249
Cu 0.309 0.309 0.751
Cu 0.309 0.691 0.249
Cu 0.309 0.691 0.751
Cu 0.691 0.309 0.249
Cu 0.691 0.309 0.751
Cu 0.691 0.691 0.249
Cu 0.691 0.691 0.751
Pt 0.000 0.500 0.500
Pt 0.500 0.000 0.500
CELL_PARAMETERS angstrom
6.325 0.000 0.000
0.000 6.325 0.000
0.000 0.000 4.819
```

Results
calculated formation energy	187	meV/atom
space-group type	P4/mmm, No. 123
raw total energy	-4.043	eV per atom

***

(4)
Below is Nd3Ho4Er after structural relaxation, with properties calculated at the GGA-PBE level. Values from VASP.

Quantum ESPRESSO input file:
```
&SYSTEM
  ibrav = 0, nat = 16, ntyp = 3
/
ATOMIC_SPECIES
Nd 144.24 Nd.upf
Ho 164.93 Ho.upf
Er 167.26 Er.upf
ATOMIC_POSITIONS crystal
Nd 0.000 0.167 0.000
Nd 0.248 0.497 0.500
Nd 0.252 0.503 0.000
Nd 0.500 0.833 0.500
Nd 0.748 0.503 0.000
Nd 0.752 0.497 0.500
Ho 0.000 0.166 0.500
Ho 0.000 0.667 0.251
Ho 0.250 0.000 0.250
Ho 0.250 0.000 0.750
Ho 0.500 0.333 0.751
Ho 0.500 0.834 0.000
Ho 0.750 0.000 0.250
Ho 0.750 0.000 0.750
Er 0.000 0.667 0.748
Er 0.500 0.333 0.248
CELL_PARAMETERS angstrom
11.577 0.000 0.000
0.000 6.218 0.000
0.000 0.000 7.198
```

Results
calculated formation energy	3	meV/atom
space-group type	Pmn2_1, No. 31
relative energy among the computed polymorphs	0	meV per atom
raw total energy	-4.644	eV per atom

***

(5)
Below is ScNbTcNi after structural relaxation, with properties calculated at the GGA-PBE level. Values from VASP.

Quantum ESPRESSO input file:
```
&SYSTEM
  ibrav = 0, nat = 4, ntyp = 4
/
ATOMIC_SPECIES
Sc 44.96 Sc.upf
Nb 92.91 Nb.upf
Tc 98.00 Tc.upf
Ni 58.69 Ni.upf
ATOMIC_POSITIONS crystal
Sc 0.000 0.000 0.000
Nb 0.500 0.500 0.500
Tc 0.750 0.750 0.750
Ni 0.250 0.250 0.250
CELL_PARAMETERS angstrom
0.000 3.171 3.171
3.171 0.000 3.171
3.171 3.171 0.000
```

Results
calculated formation energy	-279	meV/atom
space-group type	F-43m, No. 216
raw total energy	-8.416	eV per atom

***

(6)
Below is Pr8ZnCu2 after structural relaxation, with properties calculated at the GGA-PBE level. Values from VASP.

Quantum ESPRESSO input file:
```
&SYSTEM
  ibrav = 0, nat = 11, ntyp = 3
/
ATOMIC_SPECIES
Pr 140.91 Pr.upf
Zn 65.41 Zn.upf
Cu 63.55 Cu.upf
ATOMIC_POSITIONS crystal
Pr 0.000 0.000 0.000
Pr 0.065 0.308 0.607
Pr 0.150 0.624 0.187
Pr 0.308 0.065 0.607
Pr 0.467 0.710 0.766
Pr 0.624 0.150 0.187
Pr 0.710 0.467 0.766
Pr 0.775 0.775 0.373
Zn 0.388 0.388 0.185
Cu 0.078 0.697 0.687
Cu 0.697 0.078 0.687
CELL_PARAMETERS angstrom
4.445 -6.965 0.000
4.445 6.965 0.000
-1.719 0.000 5.344
```

Results
calculated formation energy	22	meV/atom
space-group type	Cm, No. 8
relative energy among the computed polymorphs	101	meV per atom
raw total energy	-4.314	eV per atom

***

(7)
Below is Dy6Zn2Cu after structural relaxation, with properties calculated at the GGA-PBE level. Values from VASP.

Quantum ESPRESSO input file:
```
&SYSTEM
  ibrav = 0, nat = 9, ntyp = 3
/
ATOMIC_SPECIES
Dy 162.50 Dy.upf
Zn 65.41 Zn.upf
Cu 63.55 Cu.upf
ATOMIC_POSITIONS crystal
Dy 0.083 0.589 0.336
Dy 0.244 0.756 0.000
Dy 0.411 0.917 0.664
Dy 0.589 0.083 0.336
Dy 0.756 0.244 0.000
Dy 0.917 0.411 0.664
Zn 0.333 0.333 0.833
Zn 0.667 0.667 0.167
Cu 0.000 0.000 0.500
CELL_PARAMETERS angstrom
7.747 -3.478 0.000
7.747 3.478 0.000
-1.541 0.000 4.654
```

Results
calculated formation energy	34	meV/atom
space-group type	C2/m, No. 12
raw total energy	-3.773	eV per atom

***

(8)
Below is SbMoBr2 after structural relaxation, with properties calculated at the GGA-PBE level. Values from VASP.

Quantum ESPRESSO input file:
```
&SYSTEM
  ibrav = 0, nat = 4, ntyp = 3
/
ATOMIC_SPECIES
Sb 121.76 Sb.upf
Mo 95.94 Mo.upf
Br 79.90 Br.upf
ATOMIC_POSITIONS crystal
Sb 0.000 0.000 0.000
Mo 0.500 0.500 0.000
Br 0.357 0.643 0.500
Br 0.643 0.357 0.500
CELL_PARAMETERS angstrom
2.721 -7.052 0.000
2.721 7.052 0.000
0.000 0.000 3.312
```

Results
space-group type	Cmmm, No. 65
relative energy among the computed polymorphs	103	meV per atom
formation energy without anion corrections	0.4	kJ/mol of atoms
raw total energy	-4.571	eV per atom

***

(9)
Below is Sm9Ho4Tm11 after structural relaxation, with properties calculated at the GGA-PBE level. Values from VASP.

Quantum ESPRESSO input file:
```
&SYSTEM
  ibrav = 0, nat = 24, ntyp = 3
/
ATOMIC_SPECIES
Sm 150.36 Sm.upf
Ho 164.93 Ho.upf
Tm 168.93 Tm.upf
ATOMIC_POSITIONS crystal
Sm 0.000 0.000 0.000
Sm 0.130 0.663 0.000
Sm 0.287 0.434 0.000
Sm 0.337 0.870 0.000
Sm 0.434 0.287 0.000
Sm 0.566 0.713 0.000
Sm 0.663 0.130 0.000
Sm 0.713 0.566 0.000
Sm 0.870 0.337 0.000
Ho 0.055 0.256 0.000
Ho 0.256 0.055 0.000
Ho 0.744 0.945 0.000
Ho 0.945 0.744 0.000
Tm 0.094 0.455 0.500
Tm 0.133 0.867 0.500
Tm 0.210 0.210 0.500
Tm 0.339 0.661 0.500
Tm 0.455 0.094 0.500
Tm 0.500 0.500 0.500
Tm 0.545 0.906 0.500
Tm 0.661 0.339 0.500
Tm 0.790 0.790 0.500
Tm 0.867 0.133 0.500
Tm 0.906 0.545 0.500
CELL_PARAMETERS angstrom
8.287 -12.574 0.000
8.287 12.574 0.000
0.000 0.000 3.678
```

Results
calculated formation energy	48	meV/atom
space-group type	Cmmm, No. 65
raw total energy	-4.534	eV per atom

***

(10)
Below is Y2BeHg2 after structural relaxation, with properties calculated at the GGA-PBE level. Values from VASP.

Quantum ESPRESSO input file:
```
&SYSTEM
  ibrav = 0, nat = 10, ntyp = 3
/
ATOMIC_SPECIES
Y 88.91 Y.upf
Be 9.01 Be.upf
Hg 200.59 Hg.upf
ATOMIC_POSITIONS crystal
Y 0.168 0.332 0.000
Y 0.332 0.832 0.000
Y 0.668 0.168 0.000
Y 0.832 0.668 0.000
Be 0.000 0.000 0.500
Be 0.500 0.500 0.500
Hg 0.147 0.647 0.500
Hg 0.353 0.147 0.500
Hg 0.647 0.853 0.500
Hg 0.853 0.353 0.500
CELL_PARAMETERS angstrom
7.100 0.000 0.000
0.000 7.100 0.000
0.000 0.000 4.684
```

Results
calculated formation energy	-128	meV/atom
space-group type	P4/mbm, No. 127
raw total energy	-3.579	eV per atom

***

(11)
Below is Li6Br2N after structural relaxation, with properties calculated at the GGA-PBE level. Values from VASP.

Quantum ESPRESSO input file:
```
&SYSTEM
  ibrav = 0, nat = 9, ntyp = 3
/
ATOMIC_SPECIES
Li 6.94 Li.upf
Br 79.90 Br.upf
N 14.01 N.upf
ATOMIC_POSITIONS crystal
Li 0.065 0.367 0.698
Li 0.171 0.000 0.171
Li 0.331 0.633 0.698
Li 0.669 0.367 0.302
Li 0.829 0.000 0.829
Li 0.935 0.633 0.302
Br 0.339 0.839 0.500
Br 0.661 0.161 0.500
N 0.000 0.500 0.500
CELL_PARAMETERS angstrom
-1.934 3.110 6.126
1.934 -3.110 6.126
1.934 3.110 -6.126
```

Results
space-group type	Immm, No. 71
formation energy without anion corrections	-68.0	kJ/mol of atoms
raw total energy	-3.277	eV per atom

***

(12)
Below is TaTe2Se after structural relaxation, with properties calculated at the GGA-PBE level. Values from VASP.

Quantum ESPRESSO input file:
```
&SYSTEM
  ibrav = 0, nat = 4, ntyp = 3
/
ATOMIC_SPECIES
Ta 180.95 Ta.upf
Te 127.60 Te.upf
Se 78.96 Se.upf
ATOMIC_POSITIONS crystal
Ta 0.000 0.000 0.000
Te 0.502 0.502 0.502
Te 0.730 0.730 0.730
Se 0.280 0.280 0.280
CELL_PARAMETERS angstrom
1.736 1.002 10.267
-1.736 1.002 10.267
0.000 -2.004 10.267
```

Results
space-group type	R3m, No. 160
formation energy without anion corrections	-27.7	kJ/mol of atoms
raw total energy	-5.692	eV per atom